(1)
This record from Alexandria describes a relaxed structure of Nb2ReRh. The functional is PBE.

Output
The formation energy comes out at -22.2 kJ per mole of atoms. The space-group type is P4/mmm. As for the crystal system: tetragonal.

a b c (Å): 3.237 4.509 4.509
angles (deg): 90.00 90.00 90.00
Element x y z (fractional)
1 Re 0.500 0.500 0.500
2 Nb 0.000 0.000 0.500
3 Nb 0.000 0.500 0.000
4 Rh 0.500 0.000 0.000

(2)
This record from Alexandria describes a relaxed structure of MgOsW2. The functional is PBE.

Output
The formation energy comes out at 29.2 kJ per mole of atoms. The space-group type is R3m. As for the crystal system: trigonal.

a b c (Å): 9.566 9.566 9.566
angles (deg): 16.96 16.96 16.96
Element x y z (fractional)
1 Mg 0.497 0.497 0.497
2 Os 0.747 0.747 0.747
3 W 0.004 0.004 0.004
4 W 0.252 0.252 0.252

(3)
This record from Alexandria describes a relaxed structure of Ca2PuWN5. The functional is PBE.

Output
As for the formation energy (no corrections): -933 meV per atom. The space-group type is Cmc2_1. As for the crystal system: orthorhombic.

a b c (Å): 3.461 7.010 11.138
angles (deg): 90.00 90.00 104.29
Last column: magnetic moment on the atom in μB.
Element x y z (fractional)
1 Ca 0.847 0.693 0.806  0.01
2 Ca 0.090 0.180 0.670  0.01
3 Ca 0.153 0.307 0.306  0.01
4 Ca 0.910 0.820 0.170  0.01
5 Pu 0.784 0.568 0.530  3.43
6 Pu 0.216 0.432 0.030  3.43
7 W 0.518 0.037 0.944  0.09
8 W 0.482 0.963 0.444  0.09
9 N 0.383 0.767 0.994  -0.07
10 N 0.691 0.381 0.920  -0.20
11 N 0.499 0.998 0.782  0.00
12 N 0.273 0.545 0.655  -0.19
13 N 0.952 0.905 0.522  -0.04
14 N 0.617 0.233 0.494  -0.07
15 N 0.309 0.619 0.420  -0.20
16 N 0.501 0.002 0.282  0.00
17 N 0.727 0.455 0.155  -0.19
18 N 0.048 0.095 0.022  -0.04

(4)
This record from Alexandria describes a relaxed structure of Sc2ReBr. The functional is PBE.

Output
As for the formation energy (no corrections): 499 meV per atom. The space-group type is F-43m. As for the crystal system: cubic. Its energy above the most stable polymorph in this dataset is 1.0339 eV/atom.

a b c (Å): 4.741 4.741 4.741
angles (deg): 60.00 60.00 60.00
Element x y z (fractional)
1 Br 0.500 0.500 0.500
2 Re 0.750 0.750 0.750
3 Sc 0.000 0.000 0.000
4 Sc 0.250 0.250 0.250

(5)
This record from Alexandria describes a relaxed structure of Re2TeWI. The functional is PBE.

Output
As for the formation energy (no corrections): 3225 meV per atom. The space-group type is P4/mmm. As for the crystal system: tetragonal.

a b c (Å): 4.813 5.675 4.813
angles (deg): 90.00 90.00 90.00
Last column: magnetic moment on the atom in μB.
Element x y z (fractional)
1 I 0.000 0.000 0.000  0.06
2 Re 0.000 0.000 0.500  -0.94
3 Re 0.500 0.000 0.000  -1.14
4 Te 0.000 0.500 0.000  -0.14
5 W 0.500 0.500 0.500  2.67